Material: Ni2PPd
Method: DFT, GGA-PBE
State: optimized geometry

Lattice parameters (Å, degrees): 4.603 4.603 6.545 90.00 90.00 135.30
Fractional positions:
1 Pd 0.446 0.554 0.750
2 Pd 0.554 0.446 0.250
3 Ni 0.148 0.852 0.554
4 Ni 0.852 0.148 0.446
5 Ni 0.852 0.148 0.054
6 Ni 0.148 0.852 0.946
7 P 0.271 0.729 0.250
8 P 0.729 0.271 0.750

Space group = Cmcm, No. 63
Formation enthalpy at 0 K = -0.48 eV/atom
E_tot = -48.16 eV per cell